Y2BeIr: optimized geometry, GGA-PBE.

Lattice parameters (Å, degrees): 4.7255 4.7255 4.7255 60.00 60.00 60.00
Element x y z (fractional)
Y  0.0000  0.0000  0.0000
Y  0.2500  0.2500  0.2500
Be  0.5000  0.5000  0.5000
Ir  0.7500  0.7500  0.7500

YBe2Ir: optimized geometry, GGA-PBE.

Lattice parameters (Å, degrees): 5.2830 5.2830 5.2830 43.35 43.35 43.35
Element x y z (fractional)
Y  0.7500  0.7500  0.7500
Be  0.9454  0.9454  0.9454
Be  0.5546  0.5546  0.5546
Ir  0.2500  0.2500  0.2500

Summary:
Polymorph energy (0 for the lowest one) ... 0.000 kcal/mol of atoms

Y3BeIr3: optimized geometry, GGA-PBE.

Lattice parameters (Å, degrees): 4.0764 5.5963 13.2731 85.74 81.17 68.64
Element x y z (fractional)
Y  0.5263  0.3329  0.6146
Y  0.4737  0.6671  0.3854
Y  0.2519  0.2635  0.2327
Y  0.7481  0.7365  0.7673
Y  0.3906  0.2963  0.9226
Y  0.6094  0.7037  0.0774
Be  0.7639  0.0722  0.4000
Be  0.2361  0.9278  0.6000
Ir  0.8383  0.7828  0.5406
Ir  0.1617  0.2172  0.4594
Ir  0.1162  0.8492  0.9183
Ir  0.8838  0.1508  0.0817
Ir  0.9588  0.8386  0.2438
Ir  0.0412  0.1614  0.7562

Number 1: total DFT energy (no corrections) -6.5089 eV per atom, formation energy -13 kJ per mole of atoms. Number 2: total DFT energy (no corrections) -6.2245 eV per atom, formation energy -51 kJ per mole of atoms. Number 3: total DFT energy (no corrections) -7.8152 eV per atom, formation energy -69 kJ per mole of atoms.